# 1
Material: CdTeAs2
Method: DFT, GGA-PBE
State: relaxed

a = 3.035 Å, b = 5.588 Å, c = 6.117 Å
α = 90.00°, β = 103.61°, γ = 90.00°
Fractional coordinates of all 4 atoms:
Cd  0.000  0.000  0.000
Te  0.083  0.500  0.148
As  0.307  0.500  0.607
As  0.309  0.000  0.598

## Properties
* space group: No. 6
* uncorrected energy: -12.950 eV per formula unit
* ΔE to the lowest computed polymorph: 158 meV per atom

# 2
Material: La2SiP
Method: DFT, GGA-PBE
State: relaxed

a = 7.182 Å, b = 7.182 Å, c = 7.182 Å
α = 90.00°, β = 90.00°, γ = 90.00°
Fractional coordinates of all 16 atoms:
La  0.000  0.000  0.000
La  0.000  0.500  0.500
La  0.250  0.250  0.250
La  0.250  0.750  0.750
La  0.500  0.000  0.500
La  0.500  0.500  0.000
La  0.750  0.250  0.750
La  0.750  0.750  0.250
Si  0.000  0.000  0.500
Si  0.000  0.500  0.000
Si  0.500  0.000  0.000
Si  0.500  0.500  0.500
P  0.250  0.250  0.750
P  0.250  0.750  0.250
P  0.750  0.250  0.250
P  0.750  0.750  0.750

## Properties
* space group: No. 216
* uncorrected energy: -21.283 eV per formula unit
* ΔE to the lowest computed polymorph: 1010 meV per atom